Entry from Alexandria via LeMat-Bulk: a relaxed structure of Cd2Ga2Se (PBE).

Unit cell a=7.4839 b=7.4839 c=4.1698 alpha=90.00 beta=90.00 gamma=90.00
With the nearest neighbours (Å) after each atom.
Element x y z (fractional)
Cd  0.1395  0.3605  0.0000  2 Se 2.89, 1 Cd 2.95, 6 Ga 2.97-3.07
Cd  0.3605  0.8605  0.0000  2 Se 2.89, 1 Cd 2.95, 6 Ga 2.97-3.07
Cd  0.6395  0.1395  0.0000  2 Se 2.89, 1 Cd 2.95, 6 Ga 2.97-3.07
Cd  0.8605  0.6395  0.0000  2 Se 2.89, 1 Cd 2.95, 6 Ga 2.97-3.07
Ga  0.1612  0.6612  0.5000  6 Cd 2.97-3.07
Ga  0.3388  0.1612  0.5000  6 Cd 2.97-3.07
Ga  0.6612  0.8388  0.5000  6 Cd 2.97-3.07
Ga  0.8388  0.3388  0.5000  6 Cd 2.97-3.07
Se  0.0000  0.0000  0.0000  4 Cd 2.89
Se  0.5000  0.5000  0.0000  4 Cd 2.89

Output
Uncorrected formation energy ... 0.036 eV per atom
DFT total energy ... -2.24 eV per atom

***

Entry from Alexandria via LeMat-Bulk: a relaxed structure of K3Tb2CeS6 (PBE).

Unit cell a=7.1421 b=7.1421 c=7.7441 alpha=98.84 beta=98.84 gamma=120.00
With the nearest neighbours (Å) after each atom.
Element x y z (fractional)
K  0.0000  0.0000  0.0000  6 S 3.19-3.25
K  0.3338  0.6662  0.0000  6 S 3.20-3.25
K  0.6662  0.3338  0.0000  6 S 3.20-3.25
Tb  0.1667  0.8333  0.5000  6 S 2.79
Tb  0.8333  0.1667  0.5000  6 S 2.79
Ce  0.5000  0.5000  0.5000  6 S 2.86
S  0.0918  0.4322  0.2966  2 Tb 2.79, 1 Ce 2.86
S  0.2274  0.2274  0.7035  2 Tb 2.79, 1 Ce 2.86
S  0.4322  0.0918  0.2966  2 Tb 2.79, 1 Ce 2.86
S  0.5678  0.9082  0.7034  2 Tb 2.79, 1 Ce 2.86
S  0.7726  0.7726  0.2965  2 Tb 2.79, 1 Ce 2.86
S  0.9082  0.5678  0.7034  2 Tb 2.79, 1 Ce 2.86

Output
Uncorrected formation energy ... -1.851 eV per atom
DFT total energy ... -5.46 eV per atom